HfIr2WF: relaxed, PBE+U.

Values from the calculation:
- DFT total energy (eV/cell) = -29.99
- space group = P4/mmm

Cell: 4.7042 4.7042 5.2761 Å, 90.00 90.00 90.00°
Closest atoms and distances in Å follow each position.
Element x y z (fractional)
Hf (0.0000, 0.0000, 0.0000)  2 W 2.64
Ir (0.0000, 0.5000, 0.5000)  2 W 2.35
Ir (0.5000, 0.0000, 0.5000)  2 W 2.35
W (0.0000, 0.0000, 0.5000)  4 Ir 2.35
F (0.5000, 0.5000, 0.0000)  4 Hf 3.33, 8 Ir 3.53